(1)
## Pm6CdSn5 (GGA-PBE)

Data for crystalline Pm6CdSn5 at its relaxed geometry.

Values from the calculation:
* final energy: -4.730 eV/atom
* space group: Immm, No. 71
* spin magnetization: 0.0001 μB per atom
* DFT formation energy: -611 meV/atom

Cell lengths 5.7312, 8.9507, 9.7360 Å; angles 62.63, 72.90, 50.23 degrees
Last column: nearest neighbours and their distance in Å.
Atoms (fractional coordinates):
Sn: 0.0000 0.3319 0.3361  8 Pm 3.29-3.34, 2 Sn 3.44
Pm: 0.2395 0.2603 0.0000  6 Sn 3.29-3.34, 2 Pm 3.30-3.58, 2 Cd 3.38
Pm: 0.7605 0.7397 0.0000  6 Sn 3.29-3.34, 2 Pm 3.30-3.58, 2 Cd 3.38
Sn: 0.0000 0.6681 0.6639  8 Pm 3.29-3.34, 2 Sn 3.44
Pm: 0.2556 0.9158 0.6586  7 Sn 3.29-3.40, 2 Pm 3.37-3.51, 1 Cd 3.43
Pm: 0.7444 0.0842 0.3414  7 Sn 3.29-3.40, 2 Pm 3.37-3.51, 1 Cd 3.43
Sn: 0.5000 0.1594 0.6813  8 Pm 3.29-3.39, 2 Sn 3.44
Cd: 0.0000 0.0000 0.0000  8 Pm 3.38-3.43, 2 Sn 3.44
Pm: 0.7444 0.4256 0.6586  7 Sn 3.29-3.40, 2 Pm 3.37-3.51, 1 Cd 3.43
Pm: 0.2556 0.5744 0.3414  7 Sn 3.29-3.40, 2 Pm 3.37-3.51, 1 Cd 3.43
Sn: 0.5000 0.5000 0.0000  8 Pm 3.31-3.40, 2 Cd 3.44
Sn: 0.5000 0.8406 0.3187  8 Pm 3.29-3.39, 2 Sn 3.44

=====

(2)
## Pm12CdSn7 (GGA-PBE)

Data for crystalline Pm12CdSn7 at its relaxed geometry.

Values from the calculation:
* final energy: -4.770 eV/atom
* space group: R-3, No. 148
* spin magnetization: 0.0000 μB per atom
* DFT formation energy: -473 meV/atom

Cell lengths 9.1200, 9.1200, 9.1200 Å; angles 107.80, 107.80, 107.80 degrees
Last column: nearest neighbours and their distance in Å.
Atoms (fractional coordinates):
Pm: 0.2500 0.3442 0.0272  4 Sn 3.15-3.44, 1 Cd 3.15
Sn: 0.0181 0.8959 0.3582  1 Sn 2.88, 2 Pm 3.11-3.15
Sn: 0.9819 0.1041 0.6418  1 Sn 2.88, 2 Pm 3.11-3.15
Pm: 0.6186 0.7887 0.3300  3 Sn 3.11-3.38
Pm: 0.2113 0.6700 0.3814  3 Sn 3.11-3.38
Pm: 0.3300 0.6186 0.7887  3 Sn 3.11-3.38
Pm: 0.9728 0.7500 0.6558  4 Sn 3.15-3.44, 1 Cd 3.15
Sn: 0.3582 0.0181 0.8959  1 Sn 2.88, 2 Pm 3.11-3.15
Pm: 0.0272 0.2500 0.3442  4 Sn 3.15-3.44, 1 Cd 3.15
Pm: 0.6700 0.3814 0.2113  3 Sn 3.11-3.38
Pm: 0.6558 0.9728 0.7500  4 Sn 3.15-3.44, 1 Cd 3.15
Sn: 0.6418 0.9819 0.1041  1 Sn 2.88, 2 Pm 3.11-3.15
Pm: 0.3442 0.0272 0.2500  4 Sn 3.15-3.44, 1 Cd 3.15
Pm: 0.7887 0.3300 0.6186  3 Sn 3.11-3.38
Pm: 0.3814 0.2113 0.6700  3 Sn 3.11-3.38
Sn: 0.1041 0.6418 0.9819  1 Sn 2.88, 2 Pm 3.11-3.15
Sn: 0.8959 0.3582 0.0181  1 Sn 2.88, 2 Pm 3.11-3.15
Cd: 0.0000 0.0000 0.0000  6 Pm 3.15
Pm: 0.7500 0.6558 0.9728  4 Sn 3.15-3.44, 1 Cd 3.15
Sn: 0.5000 0.5000 0.5000  12 Pm 3.51-3.75